Computed, not measured: crystalline DyHo5As6 at its relaxed geometry at the GGA-PBE level of DFT.

Properties
VASP energy   -73.76 eV per cell
Energy of formation from the pure elements   -147.7 kJ per mole of atoms

Cell: 7.1071 7.1071 7.1051 Å, 99.60 99.60 119.98°
Fractional positions:
Dy: 0.0000 0.0000 0.0000
Ho: 0.1665 0.8335 0.5000
Ho: 0.3333 0.6667 0.0000
Ho: 0.5000 0.5000 0.5000
Ho: 0.6667 0.3333 0.0000
Ho: 0.8335 0.1665 0.5000
As: 0.0835 0.4174 0.2504
As: 0.2505 0.2505 0.7497
As: 0.4174 0.0835 0.2504
As: 0.5826 0.9165 0.7496
As: 0.7495 0.7495 0.2503
As: 0.9165 0.5826 0.7496